Record 1
# YTmHg2 (GGA-PBEsol, optimized geometry)
# DFT formation energy	-0.595	eV/atom
data_YTmHg2
_chemical_formula_sum 'Y4 Tm4 Hg8'
_cell_length_a 7.2712
_cell_length_b 7.2712
_cell_length_c 7.2712
_cell_angle_alpha 90.00
_cell_angle_beta 90.00
_cell_angle_gamma 90.00
_space_group_name_H-M_alt 'F m -3 m'
_space_group_IT_number 225
_space_group_name_Hall '-F 4 2 3'
loop_
_atom_site_label
_atom_site_fract_x
_atom_site_fract_y
_atom_site_fract_z
Y1 0.0000 0.0000 0.0000
Tm1 0.0000 0.0000 0.5000
Hg1 0.2500 0.2500 0.2500

---

Record 2
# HgW3 (GGA-PBEsol, optimized geometry)
# DFT formation energy	4.591	eV/atom
data_HgW3
_chemical_formula_sum 'Hg1 W3'
_cell_length_a 4.9330
_cell_length_b 4.9330
_cell_length_c 4.9330
_cell_angle_alpha 90.00
_cell_angle_beta 90.00
_cell_angle_gamma 90.00
_space_group_name_H-M_alt 'P m -3 m'
_space_group_IT_number 221
_space_group_name_Hall '-P 4 2 3'
loop_
_atom_site_label
_atom_site_fract_x
_atom_site_fract_y
_atom_site_fract_z
Hg1 0.0000 0.0000 0.0000
W1 0.0000 0.0000 0.5000

---

Record 3
# HgW2 (GGA-PBEsol, optimized geometry)
# DFT formation energy	0.605	eV/atom
data_HgW2
_chemical_formula_sum 'Hg2 W4'
_cell_length_a 2.7215
_cell_length_b 4.3245
_cell_length_c 8.5082
_cell_angle_alpha 90.00
_cell_angle_beta 90.00
_cell_angle_gamma 90.00
_space_group_name_H-M_alt 'I m m m'
_space_group_IT_number 71
_space_group_name_Hall '-I 2 2'
loop_
_atom_site_label
_atom_site_fract_x
_atom_site_fract_y
_atom_site_fract_z
Hg1 0.0000 0.0000 0.0000
W1 0.0000 0.0000 0.3334

---

Record 4
# YHg3W (GGA-PBEsol, optimized geometry)
# DFT formation energy	1.772	eV/atom
data_YHg3W
_chemical_formula_sum 'Y1 Hg3 W1'
_cell_length_a 5.5199
_cell_length_b 5.5199
_cell_length_c 5.5199
_cell_angle_alpha 90.00
_cell_angle_beta 90.00
_cell_angle_gamma 90.00
_space_group_name_H-M_alt 'P m -3 m'
_space_group_IT_number 221
_space_group_name_Hall '-P 4 2 3'
loop_
_atom_site_label
_atom_site_fract_x
_atom_site_fract_y
_atom_site_fract_z
Y1 0.0000 0.0000 0.0000
Hg1 0.0000 0.0000 0.5000
W1 0.5000 0.5000 0.5000

---

- What is the DFT formation energy in the fourth record?
  1.772 eV/atom

---

- Look up the DFT formation energy of the third one.
  0.605 eV/atom